Density functional theory data (GGA-PBE) for a relaxed structure of Li7Hg4Bi.

The structure in CIF format:
```
data_Li7Hg4Bi
_space_group_name_H-M_alt 'C 1 2/m 1'
_space_group_IT_number 12
_cell_length_a 11.627
_cell_length_b 5.629
_cell_length_c 8.749
_cell_angle_alpha 90.00
_cell_angle_beta 120.31
_cell_angle_gamma 90.00
loop_
_space_group_symop_operation_xyz
'x,y,z'
'-x,-y,-z'
'-x,y,-z'
'x,-y,z'
'x+1/2,y+1/2,z'
'-x+1/2,-y+1/2,-z'
'-x+1/2,y+1/2,-z'
'x+1/2,-y+1/2,z'
loop_
_atom_site_label
_atom_site_type_symbol
_atom_site_fract_x
_atom_site_fract_y
_atom_site_fract_z
Li1 Li 0.000 0.000 0.000
Li2 Li 0.001 0.500 0.332
Li3 Li 0.242 0.000 0.651
Li4 Li 0.249 0.500 0.005
Hg1 Hg 0.011 0.000 0.680
Hg2 Hg 0.242 0.500 0.675
Bi1 Bi 0.000 0.500 0.000
```

Values from the calculation:
Its theoretical density is 7.121 Mg/m³. Its formation enthalpy at 0 K is -0.2687 eV/atom.

=====

Density functional theory data (GGA-PBE) for a relaxed structure of Al2CdW.

The structure in CIF format:
```
data_Al2CdW
_space_group_name_H-M_alt 'I -4 m 2'
_space_group_IT_number 119
_space_group_name_Hall 'I -4 -2'
_cell_length_a 3.840
_cell_length_b 3.840
_cell_length_c 8.918
_cell_angle_alpha 90.00
_cell_angle_beta 90.00
_cell_angle_gamma 90.00
loop_
_atom_site_label
_atom_site_type_symbol
_atom_site_fract_x
_atom_site_fract_y
_atom_site_fract_z
Al1 Al 0.000 0.000 0.000
Al2 Al 0.000 0.500 0.250
Cd1 Cd 0.000 0.000 0.500
W1 W 0.000 0.500 0.750
```

Values from the calculation:
Its theoretical density is 8.846 Mg/m³. Its formation enthalpy at 0 K is 0.1467 eV/atom.

=====

Density functional theory data (GGA-PBE) for a relaxed structure of SbTe2HRu.

The structure in CIF format:
```
data_SbTe2HRu
_space_group_name_H-M_alt 'P 4/m m m'
_space_group_IT_number 123
_space_group_name_Hall '-P 4 2'
_cell_length_a 5.030
_cell_length_b 5.030
_cell_length_c 3.839
_cell_angle_alpha 90.00
_cell_angle_beta 90.00
_cell_angle_gamma 90.00
loop_
_atom_site_label
_atom_site_type_symbol
_atom_site_fract_x
_atom_site_fract_y
_atom_site_fract_z
Sb1 Sb 0.000 0.000 0.000
Te1 Te 0.000 0.500 0.500
H1 H 0.000 0.000 0.500
Ru1 Ru 0.500 0.500 0.000
```

Values from the calculation:
Its theoretical density is 8.189 Mg/m³. The total energy comes out at -3.8182 eV per atom.

=====

Density functional theory data (GGA-PBE) for a relaxed structure of CaSc3Te6.

The structure in CIF format:
```
data_CaSc3Te6
_space_group_name_H-M_alt 'P 1 21/m 1'
_space_group_IT_number 11
_cell_length_a 12.496
_cell_length_b 4.180
_cell_length_c 12.837
_cell_angle_alpha 90.00
_cell_angle_beta 114.88
_cell_angle_gamma 90.00
loop_
_space_group_symop_operation_xyz
'x,y,z'
'-x,-y,-z'
'-x,y+1/2,-z'
'x,-y+1/2,z'
loop_
_atom_site_label
_atom_site_type_symbol
_atom_site_fract_x
_atom_site_fract_y
_atom_site_fract_z
Ca1 Ca 0.217 0.250 0.057
Sc1 Sc 0.025 0.750 0.280
Sc2 Sc 0.344 0.250 0.435
Sc3 Sc 0.403 0.750 0.833
Te1 Te 0.033 0.750 0.896
Te2 Te 0.118 0.250 0.450
Te3 Te 0.227 0.250 0.766
Te4 Te 0.253 0.750 0.263
Te5 Te 0.416 0.750 0.069
Te6 Te 0.440 0.750 0.612
```

Values from the calculation:
Its theoretical density is 5.136 Mg/m³. The total energy comes out at -5.1676 eV per atom.

=====

Density functional theory data (GGA-PBE) for a relaxed structure of ScTi2Cu2.

The structure in CIF format:
```
data_ScTi2Cu2
_space_group_name_H-M_alt 'P 4/m b m'
_space_group_IT_number 127
_space_group_name_Hall '-P 4 2ab'
_cell_length_a 7.703
_cell_length_b 7.703
_cell_length_c 2.730
_cell_angle_alpha 90.00
_cell_angle_beta 90.00
_cell_angle_gamma 90.00
loop_
_atom_site_label
_atom_site_type_symbol
_atom_site_fract_x
_atom_site_fract_y
_atom_site_fract_z
Sc1 Sc 0.000 0.000 0.000
Ti1 Ti 0.125 0.375 0.000
Cu1 Cu 0.173 0.673 0.500
```

Values from the calculation:
Its theoretical density is 5.489 Mg/m³. Its formation enthalpy at 0 K is 0.0401 eV/atom.

=====

Density functional theory data (GGA-PBE) for a relaxed structure of NaAc6Ir3.

The structure in CIF format:
```
data_NaAc6Ir3
_space_group_name_H-M_alt 'P 1 21/m 1'
_space_group_IT_number 11
_cell_length_a 13.212
_cell_length_b 4.386
_cell_length_c 13.428
_cell_angle_alpha 90.00
_cell_angle_beta 102.54
_cell_angle_gamma 90.00
loop_
_space_group_symop_operation_xyz
'x,y,z'
'-x,-y,-z'
'-x,y+1/2,-z'
'x,-y+1/2,z'
loop_
_atom_site_label
_atom_site_type_symbol
_atom_site_fract_x
_atom_site_fract_y
_atom_site_fract_z
Na1 Na 0.032 0.250 0.145
Ac1 Ac 0.067 0.750 0.406
Ac2 Ac 0.204 0.750 0.694
Ac3 Ac 0.227 0.250 0.969
Ac4 Ac 0.329 0.750 0.256
Ac5 Ac 0.388 0.250 0.541
Ac6 Ac 0.483 0.750 0.869
Ir1 Ir 0.150 0.250 0.552
Ir2 Ir 0.365 0.750 0.044
Ir3 Ir 0.476 0.250 0.346
```

Values from the calculation:
Its theoretical density is 8.577 Mg/m³. Its formation enthalpy at 0 K is -0.4845 eV/atom.

=====

Density functional theory data (GGA-PBE) for a relaxed structure of IrC2.

The structure in CIF format:
```
data_IrC2
_space_group_name_H-M_alt 'C m c e'
_space_group_IT_number 64
_space_group_name_Hall '-C 2ac 2'
_cell_length_a 8.713
_cell_length_b 5.521
_cell_length_c 10.246
_cell_angle_alpha 90.00
_cell_angle_beta 90.00
_cell_angle_gamma 90.00
loop_
_atom_site_label
_atom_site_type_symbol
_atom_site_fract_x
_atom_site_fract_y
_atom_site_fract_z
Ir1 Ir 0.000 0.247 0.240
Ir2 Ir 0.236 0.000 0.500
C1 C 0.079 0.233 0.040
C2 C 0.183 0.010 0.286
```

Values from the calculation:
Its theoretical density is 11.657 Mg/m³. Its formation enthalpy at 0 K is 1.0272 eV/atom.

=====

Density functional theory data (GGA-PBE) for a relaxed structure of CaAg2Rh.

The structure in CIF format:
```
data_CaAg2Rh
_space_group_name_H-M_alt 'R -3 m'
_space_group_IT_number 166
_space_group_name_Hall '-R 3 2"'
_cell_length_a 3.0646
_cell_length_b 3.0646
_cell_length_c 28.6687
_cell_angle_alpha 90.00
_cell_angle_beta 90.00
_cell_angle_gamma 120.00
loop_
_atom_site_label
_atom_site_type_symbol
_atom_site_fract_x
_atom_site_fract_y
_atom_site_fract_z
Ca1 Ca 0.0000 0.0000 0.0000
Ag1 Ag 0.0000 0.0000 0.2442
Rh1 Rh 0.0000 0.0000 0.5000
```

Values from the calculation:
Its theoretical density is 7.664 Mg/m³. Its formation enthalpy at 0 K is 0.3875 eV/atom.

=====

Density functional theory data (GGA-PBE) for a relaxed structure of ReBr2Cl.

The structure in CIF format:
```
data_ReBr2Cl
_space_group_name_H-M_alt 'F m -3 m'
_space_group_IT_number 225
_space_group_name_Hall '-F 4 2 3'
_cell_length_a 7.009
_cell_length_b 7.009
_cell_length_c 7.009
_cell_angle_alpha 90.00
_cell_angle_beta 90.00
_cell_angle_gamma 90.00
loop_
_atom_site_label
_atom_site_type_symbol
_atom_site_fract_x
_atom_site_fract_y
_atom_site_fract_z
Re1 Re 0.000 0.000 0.000
Br1 Br 0.250 0.250 0.250
Cl1 Cl 0.000 0.000 0.500
```

Values from the calculation:
Its theoretical density is 7.359 Mg/m³. The total energy comes out at -3.3377 eV per atom.

=====

Density functional theory data (GGA-PBE) for a relaxed structure of In3PbAu.

The structure in CIF format:
```
data_In3PbAu
_space_group_name_H-M_alt 'P m -3 m'
_space_group_IT_number 221
_space_group_name_Hall '-P 4 2 3'
_cell_length_a 5.378
_cell_length_b 5.378
_cell_length_c 5.378
_cell_angle_alpha 90.00
_cell_angle_beta 90.00
_cell_angle_gamma 90.00
loop_
_atom_site_label
_atom_site_type_symbol
_atom_site_fract_x
_atom_site_fract_y
_atom_site_fract_z
In1 In 0.000 0.000 0.500
Pb1 Pb 0.500 0.500 0.500
Au1 Au 0.000 0.000 0.000
```

Values from the calculation:
Its theoretical density is 7.991 Mg/m³. Its formation enthalpy at 0 K is 0.1295 eV/atom.